No. 1
A plane-wave DFT calculation with GGA-PBE was carried out for RhCl3 after structural relaxation.

Geometry as CIF:
```
data_RhCl3
_chemical_formula_sum 'Rh2 Cl6'
_cell_length_a 3.138
_cell_length_b 4.841
_cell_length_c 12.404
_cell_angle_alpha 90.00
_cell_angle_beta 90.00
_cell_angle_gamma 90.00
_space_group_name_H-M_alt 'I m m m'
_space_group_IT_number 71
_space_group_name_Hall '-I 2 2'
loop_
_atom_site_label
_atom_site_type_symbol
_atom_site_fract_x
_atom_site_fract_y
_atom_site_fract_z
Rh1 Rh 0.000 0.000 0.000
Cl1 Cl 0.000 0.000 0.500
Cl2 Cl 0.000 0.500 0.355
```

Output
VASP energy	-3.303	eV per atom
crystal system	orthorhombic
magnetization	0.00	μB/cell

No. 2
A plane-wave DFT calculation with GGA-PBE was carried out for YP2Au after structural relaxation.

Geometry as CIF:
```
data_YP2Au
_chemical_formula_sum 'Y2 P4 Au2'
_cell_length_a 10.465
_cell_length_b 4.120
_cell_length_c 3.991
_cell_angle_alpha 90.00
_cell_angle_beta 107.45
_cell_angle_gamma 90.00
_space_group_name_H-M_alt 'C 1 m 1'
_space_group_IT_number 8
_space_group_name_Hall 'C -2y'
loop_
_atom_site_label
_atom_site_type_symbol
_atom_site_fract_x
_atom_site_fract_y
_atom_site_fract_z
Y1 Y 0.000 0.000 0.000
P1 P 0.063 0.500 0.572
P2 P 0.352 0.000 0.198
Au1 Au 0.243 0.500 0.285
```

Output
energy relative to the elements	-0.7262	eV per atom
distance to the lowest polymorph of the same formula	0	meV/atom
crystal system	monoclinic
magnetization	0.00	μB/cell

No. 3
A plane-wave DFT calculation with GGA-PBE was carried out for PrCu2PPd2 after structural relaxation.

Geometry as CIF:
```
data_PrCu2PPd2
_chemical_formula_sum 'Pr1 Cu2 P1 Pd2'
_cell_length_a 4.346
_cell_length_b 4.346
_cell_length_c 5.805
_cell_angle_alpha 90.00
_cell_angle_beta 90.00
_cell_angle_gamma 90.00
_space_group_name_H-M_alt 'P 4/m m m'
_space_group_IT_number 123
_space_group_name_Hall '-P 4 2'
loop_
_atom_site_label
_atom_site_type_symbol
_atom_site_fract_x
_atom_site_fract_y
_atom_site_fract_z
Pr1 Pr 0.000 0.000 0.000
Cu1 Cu 0.000 0.500 0.500
P1 P 0.000 0.000 0.500
Pd1 Pd 0.500 0.500 0.232
```

Output
energy relative to the elements	-0.4045	eV per atom
crystal system	tetragonal
magnetization	0.00	μB/cell

No. 4
A plane-wave DFT calculation with GGA-PBE was carried out for Co2CuSi after structural relaxation.

Geometry as CIF:
```
data_Co2CuSi
_chemical_formula_sum 'Co8 Cu4 Si4'
_cell_length_a 5.639
_cell_length_b 5.639
_cell_length_c 5.639
_cell_angle_alpha 90.00
_cell_angle_beta 90.00
_cell_angle_gamma 90.00
_space_group_name_H-M_alt 'F -4 3 m'
_space_group_IT_number 216
_space_group_name_Hall 'F -4 2 3'
loop_
_atom_site_label
_atom_site_type_symbol
_atom_site_fract_x
_atom_site_fract_y
_atom_site_fract_z
Co1 Co 0.000 0.000 0.000
Co2 Co 0.250 0.250 0.250
Cu1 Cu 0.250 0.250 0.750
Si1 Si 0.000 0.000 0.500
```

Output
VASP energy	-6.014	eV per atom
crystal system	cubic
magnetization	9.54	μB/cell

No. 5
A plane-wave DFT calculation with GGA-PBE was carried out for ZrZnCr after structural relaxation.

Geometry as CIF:
```
data_ZrZnCr
_chemical_formula_sum 'Zr2 Zn2 Cr2'
_cell_length_a 2.786
_cell_length_b 2.786
_cell_length_c 12.497
_cell_angle_alpha 90.00
_cell_angle_beta 90.00
_cell_angle_gamma 90.00
_space_group_name_H-M_alt 'I 4 m m'
_space_group_IT_number 107
_space_group_name_Hall 'I 4 -2'
loop_
_atom_site_label
_atom_site_type_symbol
_atom_site_fract_x
_atom_site_fract_y
_atom_site_fract_z
Zr1 Zr 0.000 0.000 0.000
Zn1 Zn 0.000 0.000 0.682
Cr1 Cr 0.000 0.000 0.325
```

Output
energy relative to the elements	0.2843	eV per atom
crystal system	tetragonal
magnetization	0.00	μB/cell

No. 6
A plane-wave DFT calculation with GGA-PBE was carried out for Hg2TeBr after structural relaxation.

Geometry as CIF:
```
data_Hg2TeBr
_chemical_formula_sum 'Hg2 Te1 Br1'
_cell_length_a 4.378
_cell_length_b 4.378
_cell_length_c 6.096
_cell_angle_alpha 90.00
_cell_angle_beta 90.00
_cell_angle_gamma 90.00
_space_group_name_H-M_alt 'P 4/m m m'
_space_group_IT_number 123
_space_group_name_Hall '-P 4 2'
loop_
_atom_site_label
_atom_site_type_symbol
_atom_site_fract_x
_atom_site_fract_y
_atom_site_fract_z
Hg1 Hg 0.000 0.000 0.000
Hg2 Hg 0.500 0.500 0.500
Te1 Te 0.000 0.000 0.500
Br1 Br 0.500 0.500 0.000
```

Output
distance to the lowest polymorph of the same formula	90	meV/atom
crystal system	tetragonal
magnetization	0.00	μB/cell